Computed, not measured: a geometry-optimized Y2PtRh structure at the PBEsol level of DFT.

a = 4.2458 Å, b = 3.7550 Å, c = 10.4890 Å
α = 90.00°, β = 90.00°, γ = 90.00°
Space group Amm2 (No. 38)
Asymmetric unit:
Y 0.0000 0.0000 0.0000
Y 0.5000 0.0000 0.2825
Pt 0.5000 0.0000 0.5590
Rh 0.0000 0.0000 0.7302

- uncorrected energy (eV/atom) = -8.1751

---

Computed, not measured: a geometry-optimized Y2PtRh structure at the PBEsol level of DFT.

a = 6.6804 Å, b = 6.6804 Å, c = 6.6804 Å
α = 90.00°, β = 90.00°, γ = 90.00°
Space group F-43m (No. 216)
Asymmetric unit:
Y 0.0000 0.0000 0.0000
Y 0.2500 0.2500 0.2500
Pt 0.0000 0.0000 0.5000
Rh 0.2500 0.2500 0.7500

- uncorrected energy (eV/atom) = -7.7262

---

Computed, not measured: a geometry-optimized ZnPtRh structure at the PBEsol level of DFT.

a = 2.7365 Å, b = 2.7365 Å, c = 11.0664 Å
α = 90.00°, β = 90.00°, γ = 90.00°
Space group I4mm (No. 107)
Asymmetric unit:
Zn 0.0000 0.0000 0.0000
Pt 0.0000 0.0000 0.6663
Rh 0.0000 0.0000 0.3401

- uncorrected energy (eV/atom) = -5.8199